# 1
The following is a PBE calculation of a geometry-optimized YTa3Se structure, from Alexandria.

Computed properties:
M_tot   0.000 μB/f.u.
Uncorrected formation energy   2.405 eV/atom
Offset from the most stable computed form   1864 meV per atom

Unit cell a=4.980 b=4.980 c=4.980 alpha=90.00 beta=90.00 gamma=90.00
Fractional positions:
Y 0.000 0.000 0.000
Ta 0.000 0.000 0.500
Ta 0.000 0.500 0.000
Ta 0.500 0.000 0.000
Se 0.500 0.500 0.500

=====

# 2
The following is a PBE calculation of a geometry-optimized Y3TaSe structure, from Alexandria.

Computed properties:
M_tot   1.684 μB/f.u.
Uncorrected formation energy   0.099 eV/atom
Offset from the most stable computed form   0 meV per atom

Unit cell a=5.290 b=5.290 c=5.290 alpha=90.00 beta=90.00 gamma=90.00
Fractional positions:
Y 0.000 0.000 0.500
Y 0.000 0.500 0.000
Y 0.500 0.000 0.000
Ta 0.500 0.500 0.500
Se 0.000 0.000 0.000

=====

# 3
The following is a PBE calculation of a geometry-optimized YTaSe2 structure, from Alexandria.

Computed properties:
M_tot   0.000 μB/f.u.
Uncorrected formation energy   -0.804 eV/atom
Offset from the most stable computed form   19 meV per atom

Unit cell a=4.720 b=4.720 c=6.230 alpha=106.15 beta=106.15 gamma=43.57
Fractional positions:
Y 0.000 0.000 0.000
Ta 0.261 0.261 0.591
Se 0.564 0.564 0.649
Se 0.766 0.766 0.265

=====

# 4
The following is a PBE calculation of a geometry-optimized YTaSe2 structure, from Alexandria.

Computed properties:
M_tot   0.000 μB/f.u.
Uncorrected formation energy   -0.733 eV/atom
Offset from the most stable computed form   89 meV per atom

Unit cell a=3.341 b=3.341 c=6.889 alpha=90.00 beta=90.00 gamma=90.00
Fractional positions:
Y 0.000 0.000 0.000
Ta 0.000 0.000 0.500
Se 0.500 0.500 0.272
Se 0.500 0.500 0.728

=====

# 5
The following is a PBE calculation of a geometry-optimized YTa2Se2 structure, from Alexandria.

Computed properties:
M_tot   0.000 μB/f.u.
Uncorrected formation energy   -0.194 eV/atom
Offset from the most stable computed form   270 meV per atom

Unit cell a=7.696 b=7.696 c=3.252 alpha=90.00 beta=90.00 gamma=90.00
Fractional positions:
Y 0.000 0.000 0.000
Y 0.500 0.500 0.000
Ta 0.136 0.364 0.500
Ta 0.364 0.864 0.500
Ta 0.636 0.136 0.500
Ta 0.864 0.636 0.500
Se 0.151 0.651 0.000
Se 0.349 0.151 0.000
Se 0.651 0.849 0.000
Se 0.849 0.349 0.000

=====

# 6
The following is a PBE calculation of a geometry-optimized YTaSe2 structure, from Alexandria.

Computed properties:
M_tot   0.892 μB/f.u.
Uncorrected formation energy   -0.453 eV/atom
Offset from the most stable computed form   369 meV per atom

Unit cell a=8.078 b=8.078 c=8.078 alpha=139.50 beta=139.50 gamma=58.62
Fractional positions:
Y 0.000 0.000 0.000
Y 0.750 0.250 0.500
Ta 0.250 0.750 0.500
Ta 0.500 0.500 0.000
Se 0.174 0.625 0.049
Se 0.375 0.424 0.549
Se 0.576 0.125 0.951
Se 0.875 0.826 0.451

=====

# 7
The following is a PBE calculation of a geometry-optimized YTa4Se8 structure, from Alexandria.

Computed properties:
M_tot   0.000 μB/f.u.
Uncorrected formation energy   -0.867 eV/atom

Unit cell a=8.059 b=8.059 c=8.059 alpha=52.24 beta=52.24 gamma=52.24
Fractional positions:
Y 0.000 0.000 0.000
Ta 0.000 0.000 0.500
Ta 0.000 0.500 0.000
Ta 0.500 0.000 0.000
Ta 0.500 0.500 0.500
Se 0.245 0.245 0.245
Se 0.257 0.741 0.741
Se 0.259 0.259 0.743
Se 0.259 0.743 0.259
Se 0.741 0.257 0.741
Se 0.741 0.741 0.257
Se 0.743 0.259 0.259
Se 0.755 0.755 0.755

=====

# 8
The following is a PBE calculation of a geometry-optimized Y2TaSe structure, from Alexandria.

Computed properties:
M_tot   0.000 μB/f.u.
Uncorrected formation energy   -0.036 eV/atom

Unit cell a=5.264 b=5.264 c=5.655 alpha=104.47 beta=104.47 gamma=39.17
Fractional positions:
Y 0.228 0.228 0.231
Y 0.772 0.772 0.769
Ta 0.000 0.000 0.500
Se 0.500 0.500 0.000